CoRuO: optimized geometry, GGA+U.

Computed properties:
Density, kg/m3: 8442
Total magnetic moment, Bohr magnetons per cell: 4.07
Total energy, eV/atom: -6.61
Excess energy over the best structure of this formula in the dataset, eV per atom: 0.000

a b c (Å): 2.763 2.763 15.708
angles (deg): 90.00 90.00 120.00
Fractional coordinates of all 9 atoms:
Co1 0.000 0.000 0.000
Co2 0.333 0.667 0.667
Co3 0.667 0.333 0.333
Ru1 0.000 0.000 0.532
Ru2 0.333 0.667 0.198
Ru3 0.667 0.333 0.865
O1 0.000 0.000 0.408
O2 0.333 0.667 0.074
O3 0.667 0.333 0.741